Entry 1:
MgBHO3: optimized geometry, GGA-PBEsol.

Values from the calculation:
spin magnetization	0.0	μB/f.u.
electronic total energy	-331.7	eV/cell
symmetry	P2_1/c
density of states at the Fermi level	0.0000	states/eV/atom

Unit cell a=3.1189 b=10.3773 c=12.6026 alpha=90.00 beta=96.00 gamma=90.00
Atoms (fractional coordinates):
O: 0.7985 0.2067 0.0920
O: 0.7765 0.7935 0.6027
O: 0.2200 0.0625 0.9241
O: 0.2235 0.2065 0.3973
O: 0.2607 0.3455 0.2507
O: 0.2015 0.7067 0.4080
O: 0.7800 0.9375 0.0759
O: 0.2235 0.2935 0.8973
O: 0.3941 0.0508 0.2535
O: 0.2800 0.4565 0.0847
O: 0.6059 0.9492 0.7465
O: 0.3941 0.4492 0.7535
O: 0.7200 0.9565 0.4153
O: 0.7393 0.6545 0.7493
O: 0.6059 0.5508 0.2465
O: 0.7765 0.7065 0.1027
O: 0.7393 0.8455 0.2493
O: 0.7985 0.2933 0.5920
O: 0.2607 0.1545 0.7507
O: 0.7200 0.5435 0.9153
O: 0.2800 0.0435 0.5847
O: 0.2200 0.4375 0.4241
O: 0.7800 0.5625 0.5759
O: 0.2015 0.7933 0.9080
B: 0.6280 0.5472 0.8070
B: 0.7655 0.6684 0.6388
B: 0.6280 0.9528 0.3070
B: 0.3720 0.0472 0.6930
B: 0.2345 0.3316 0.3612
B: 0.7655 0.8316 0.1388
B: 0.3720 0.4528 0.1930
B: 0.2345 0.1684 0.8612
Mg: 0.2379 0.8636 0.5045
Mg: 0.7621 0.1364 0.4955
Mg: 0.2952 0.0792 0.0886
Mg: 0.2952 0.4208 0.5886
Mg: 0.2379 0.6364 0.0045
Mg: 0.7048 0.9208 0.9114
Mg: 0.7621 0.3636 0.9955
Mg: 0.7048 0.5792 0.4114
H: 0.8826 0.2535 0.6622
H: 0.6924 0.6204 0.1915
H: 0.6924 0.8796 0.6915
H: 0.1174 0.7465 0.3378
H: 0.1174 0.7535 0.8378
H: 0.8826 0.2465 0.1622
H: 0.3076 0.3796 0.8085
H: 0.3076 0.1204 0.3085



Entry 2:
LaAg2As: optimized geometry, GGA-PBEsol.

Values from the calculation:
spin magnetization	0.0	μB/f.u.
symmetry	I-4m2
ΔH_f (0 K)	-419	meV per atom
density of states at the Fermi level	0.2989	states/eV/atom

Unit cell a=4.9392 b=4.9392 c=4.9392 alpha=90.13 beta=119.93 gamma=119.93
Atoms (fractional coordinates):
La: 0.5000 0.7500 0.2500
Ag: 0.0000 0.0000 0.0000
Ag: 0.5000 0.2500 0.7500
As: 0.0000 0.5000 0.5000



Entry 3:
PSe2N2: optimized geometry, GGA-PBEsol.

Values from the calculation:
raw formation energy	1.55	eV/atom
spin magnetization	0.0	μB/f.u.
symmetry	P4/mmm
density of states at the Fermi level	0.7917	states/eV/atom

Unit cell a=3.6131 b=3.6131 c=6.5309 alpha=90.00 beta=90.00 gamma=90.00
Atoms (fractional coordinates):
Se: 0.0000 0.0000 0.5000
Se: 0.0000 0.0000 0.0000
N: 0.5000 0.0000 0.0000
N: 0.0000 0.5000 0.0000
P: 0.5000 0.5000 0.5000



Entry 4:
BaHgIr2: optimized geometry, GGA-PBEsol.

Values from the calculation:
spin magnetization	0.0	μB/f.u.
symmetry	P2/m
ΔH_f (0 K)	673	meV per atom
density of states at the Fermi level	0.5761	states/eV/atom

Unit cell a=3.0771 b=5.1320 c=5.3531 alpha=110.05 beta=90.00 gamma=90.00
Atoms (fractional coordinates):
Ir: 0.0000 0.0000 0.0000
Ir: 0.5000 0.0000 0.5000
Ba: 0.5000 0.5000 0.0000
Hg: 0.0000 0.5000 0.5000



Entry 5:
B2RhAu: optimized geometry, GGA-PBEsol.

Values from the calculation:
spin magnetization	0.0	μB/f.u.
symmetry	Fm-3m
ΔH_f (0 K)	740	meV per atom
density of states at the Fermi level	0.7521	states/eV/atom

Unit cell a=3.9312 b=3.9312 c=3.9312 alpha=60.00 beta=60.00 gamma=60.00
Atoms (fractional coordinates):
B: 0.2500 0.2500 0.2500
B: 0.7500 0.7500 0.7500
Rh: 0.0000 0.0000 0.0000
Au: 0.5000 0.5000 0.5000



Entry 6:
KRuAu2: optimized geometry, GGA-PBEsol.

Values from the calculation:
offset from the most stable computed form	33	kJ/mol of formula units
spin magnetization	0.0	μB/f.u.
symmetry	P4/mmm
ΔH_f (0 K)	454	meV per atom
density of states at the Fermi level	0.2149	states/eV/atom

Unit cell a=2.6943 b=5.1792 c=5.1792 alpha=90.00 beta=90.00 gamma=90.00
Atoms (fractional coordinates):
Au: 0.0000 0.0000 0.5000
Au: 0.0000 0.5000 0.0000
Ru: 0.5000 0.0000 0.0000
K: 0.5000 0.5000 0.5000



Entry 7:
Y2PtBr: optimized geometry, GGA-PBEsol.

Values from the calculation:
offset from the most stable computed form	0	kJ/mol of formula units
raw formation energy	-1.24	eV/atom
spin magnetization	0.0	μB/f.u.
symmetry	R-3m
density of states at the Fermi level	0.7449	states/eV/atom

Unit cell a=4.0036 b=4.0036 c=7.7134 alpha=74.96 beta=74.96 gamma=60.00
Atoms (fractional coordinates):
Br: 0.5000 0.5000 0.5000
Y: 0.2651 0.2651 0.2047
Y: 0.7349 0.7349 0.7953
Pt: 0.0000 0.0000 0.0000



Entry 8:
MnIrOs2Pb: optimized geometry, GGA-PBEsol.

Values from the calculation:
spin magnetization	2.3	μB/f.u.
symmetry	P4/mmm
ΔH_f (0 K)	3044	meV per atom
density of states at the Fermi level	1.3896	states/eV/atom

Unit cell a=4.8667 b=4.8885 c=4.8885 alpha=90.00 beta=90.00 gamma=90.00
Last column: magnetic moment on the atom in μB.
Atoms (fractional coordinates):
Pb: 0.0000 0.0000 0.0000  0.03
Ir: 0.5000 0.0000 0.0000  -0.33
Os: 0.0000 0.5000 0.0000  -0.97
Os: 0.0000 0.0000 0.5000  -0.97
Mn: 0.5000 0.5000 0.5000  4.42